The following is a DFT calculation (PBE-GGA) of a geometry-optimized SrPtS structure.

Values from the calculation:
- Uncorrected energy: -5.097 eV/atom

Cell lengths 8.5482, 4.3192, 4.2210 Å; angles 90.00, 104.20, 90.00 degrees
Last column: nearest neighbours and their distance in Å.
Fractional coordinates of all 6 atoms:
1 Sr 0.5466 0.9511 0.0857  5 S 3.08-3.09, 2 Pt 3.45
2 Sr 0.0986 0.4511 0.3602  5 S 3.08-3.09, 2 Pt 3.45
3 S 0.1751 0.9514 0.8983  1 Pt 2.30
4 S 0.4701 0.4513 0.5477  1 Pt 2.30
5 Pt 0.7476 0.4505 0.6854  1 S 2.30, 2 Pt 2.49
6 Pt 0.8976 0.9505 0.7603  1 S 2.30, 2 Pt 2.49